VASP calculation (GGA-PBE) on CsLi4Ce3Cl12 after structural relaxation.

Values from the calculation:
M_tot: 5.00 μB per cell
Energy relative to the elements, uncorrected: -1.9083 eV/atom
Volume: 636.8 Å³/f.u.
Crystal system: trigonal

Cell: 9.254 9.254 9.254 Å, 108.22 108.22 108.22°
Sites, in units of the cell vectors:
Cs  0.000  0.000  0.000
Li  0.079  0.500  0.921
Li  0.500  0.500  0.500
Li  0.500  0.921  0.079
Li  0.921  0.079  0.500
Ce  0.000  0.574  0.426
Ce  0.426  0.000  0.574
Ce  0.574  0.426  0.000
Cl  0.060  0.652  0.765
Cl  0.079  0.921  0.500
Cl  0.235  0.348  0.940
Cl  0.347  0.653  0.500
Cl  0.348  0.940  0.235
Cl  0.500  0.079  0.921
Cl  0.500  0.347  0.653
Cl  0.652  0.765  0.060
Cl  0.653  0.500  0.347
Cl  0.765  0.060  0.652
Cl  0.921  0.500  0.079
Cl  0.940  0.235  0.348